[1]
Compound: FeTc2
Source: Alexandria
Functional: PBE
Structure: relaxed

Structure (CIF):
```
data_FeTc2
_chemical_formula_sum 'Fe4 Tc8'
_cell_length_a 5.860
_cell_length_b 5.860
_cell_length_c 4.661
_cell_angle_alpha 90.00
_cell_angle_beta 90.00
_cell_angle_gamma 90.00
_symmetry_space_group_name_H-M 'I 4/m c m'
_symmetry_Int_Tables_number 140
_symmetry_space_group_name_Hall '-I 4 2c'
loop_
_atom_site_label
_atom_site_type_symbol
_atom_site_fract_x
_atom_site_fract_y
_atom_site_fract_z
_atom_site_occupancy
Fe1 Fe 0.000 0.000 0.250 1
Tc1 Tc 0.150 0.350 0.000 1
```

***

[2]
Compound: Fe3Tc
Source: Alexandria
Functional: PBE
Structure: relaxed

Structure (CIF):
```
data_Fe3Tc
_chemical_formula_sum 'Fe3 Tc1'
_cell_length_a 2.5756
_cell_length_b 2.5756
_cell_length_c 8.0088
_cell_angle_alpha 90.00
_cell_angle_beta 90.00
_cell_angle_gamma 120.00
_symmetry_space_group_name_H-M 'P -6 m 2'
_symmetry_Int_Tables_number 187
_symmetry_space_group_name_Hall 'P -6 2'
loop_
_atom_site_label
_atom_site_type_symbol
_atom_site_fract_x
_atom_site_fract_y
_atom_site_fract_z
_atom_site_occupancy
Fe1 Fe 0.0000 0.0000 0.0000 1
Fe2 Fe 0.6667 0.3333 0.2372 1
Tc1 Tc 0.0000 0.0000 0.5000 1
```

***

[3]
Compound: Fe3Tc
Source: Alexandria
Functional: PBE
Structure: relaxed

Structure (CIF):
```
data_Fe3Tc
_chemical_formula_sum 'Fe6 Tc2'
_cell_length_a 2.915
_cell_length_b 4.127
_cell_length_c 8.171
_cell_angle_alpha 90.00
_cell_angle_beta 90.00
_cell_angle_gamma 90.00
_symmetry_space_group_name_H-M 'I m m m'
_symmetry_Int_Tables_number 71
_symmetry_space_group_name_Hall '-I 2 2'
loop_
_atom_site_label
_atom_site_type_symbol
_atom_site_fract_x
_atom_site_fract_y
_atom_site_fract_z
_atom_site_occupancy
Fe1 Fe 0.000 0.000 0.000 1
Fe2 Fe 0.000 0.500 0.255 1
Tc1 Tc 0.000 0.000 0.500 1
```

***

[4]
Compound: FeTc3
Source: Alexandria
Functional: PBE
Structure: relaxed

Structure (CIF):
```
data_FeTc3
_chemical_formula_sum 'Fe1 Tc3'
_cell_length_a 4.434
_cell_length_b 4.434
_cell_length_c 4.434
_cell_angle_alpha 90.00
_cell_angle_beta 90.00
_cell_angle_gamma 90.00
_symmetry_space_group_name_H-M 'P m -3 m'
_symmetry_Int_Tables_number 221
_symmetry_space_group_name_Hall '-P 4 2 3'
loop_
_atom_site_label
_atom_site_type_symbol
_atom_site_fract_x
_atom_site_fract_y
_atom_site_fract_z
_atom_site_occupancy
Fe1 Fe 0.000 0.000 0.000 1
Tc1 Tc 0.000 0.000 0.500 1
```

***

[5]
Compound: FeTc3
Source: Alexandria
Functional: PBE
Structure: relaxed

Structure (CIF):
```
data_FeTc3
_chemical_formula_sum 'Fe3 Tc9'
_cell_length_a 2.7099
_cell_length_b 2.7099
_cell_length_c 26.2396
_cell_angle_alpha 90.00
_cell_angle_beta 90.00
_cell_angle_gamma 120.00
_symmetry_space_group_name_H-M 'R -3 m'
_symmetry_Int_Tables_number 166
_symmetry_space_group_name_Hall '-R 3 2"'
loop_
_atom_site_label
_atom_site_type_symbol
_atom_site_fract_x
_atom_site_fract_y
_atom_site_fract_z
_atom_site_occupancy
Fe1 Fe 0.0000 0.0000 0.0000 1
Tc1 Tc 0.0000 0.0000 0.2527 1
Tc2 Tc 0.0000 0.0000 0.5000 1
```

***

[6]
Compound: Fe3Tc
Source: Alexandria
Functional: PBE
Structure: relaxed

Structure (CIF):
```
data_Fe3Tc
_chemical_formula_sum 'Fe3 Tc1'
_cell_length_a 4.506
_cell_length_b 4.506
_cell_length_c 4.506
_cell_angle_alpha 90.00
_cell_angle_beta 90.00
_cell_angle_gamma 90.00
_symmetry_space_group_name_H-M 'P m -3 m'
_symmetry_Int_Tables_number 221
_symmetry_space_group_name_Hall '-P 4 2 3'
loop_
_atom_site_label
_atom_site_type_symbol
_atom_site_fract_x
_atom_site_fract_y
_atom_site_fract_z
_atom_site_occupancy
Fe1 Fe 0.000 0.000 0.500 1
Tc1 Tc 0.000 0.000 0.000 1
```

***

[7]
Compound: FeTc3
Source: Alexandria
Functional: PBE
Structure: relaxed

Structure (CIF):
```
data_FeTc3
_chemical_formula_sum 'Fe2 Tc6'
_cell_length_a 3.817
_cell_length_b 3.817
_cell_length_c 7.555
_cell_angle_alpha 90.00
_cell_angle_beta 90.00
_cell_angle_gamma 90.00
_symmetry_space_group_name_H-M 'I 4/m m m'
_symmetry_Int_Tables_number 139
_symmetry_space_group_name_Hall '-I 4 2'
loop_
_atom_site_label
_atom_site_type_symbol
_atom_site_fract_x
_atom_site_fract_y
_atom_site_fract_z
_atom_site_occupancy
Fe1 Fe 0.000 0.000 0.000 1
Tc1 Tc 0.000 0.000 0.500 1
Tc2 Tc 0.000 0.500 0.250 1
```

***

[8]
Compound: Fe3Tc
Source: Alexandria
Functional: PBE
Structure: relaxed

Structure (CIF):
```
data_Fe3Tc
_chemical_formula_sum 'Fe12 Tc4'
_cell_length_a 5.820
_cell_length_b 5.820
_cell_length_c 5.820
_cell_angle_alpha 90.00
_cell_angle_beta 90.00
_cell_angle_gamma 90.00
_symmetry_space_group_name_H-M 'F m -3 m'
_symmetry_Int_Tables_number 225
_symmetry_space_group_name_Hall '-F 4 2 3'
loop_
_atom_site_label
_atom_site_type_symbol
_atom_site_fract_x
_atom_site_fract_y
_atom_site_fract_z
_atom_site_occupancy
Fe1 Fe 0.000 0.000 0.000 1
Fe2 Fe 0.250 0.250 0.250 1
Tc1 Tc 0.000 0.000 0.500 1
```

***

no.,DFT formation energy (eV/atom),energy (eV/cell)
1,0.01,-116.7
2,0.17,-35.1
3,0.08,-70.9
4,2.13,-31.0
5,0.13,-117.2
6,2.04,-27.6
7,0.08,-78.5
8,0.08,-141.7